La6Pd2CI3 | Alexandria via LeMat-Bulk | PBE | optimized geometry; formation energy from raw total energies = -984.8 kJ/mol of formula units; symmetry = C2/m, No. 12; calculated volume = 31.07 Å³ per atom; final energy = -5.336 eV/atom
1.0
7.3064 -0.0006 0.0063
-3.6519 6.3282 0.0063
-1.2127 -2.0999 8.0598
La Pd C I
6 2 1 3
direct
0.9381 0.6390 0.8149 La
0.7646 0.7646 0.1887 La
0.0619 0.3610 0.1851 La
0.6390 0.9381 0.8149 La
0.2354 0.2354 0.8113 La
0.3610 0.0619 0.1851 La
0.3345 0.6655 0.0000 Pd
0.6655 0.3345 0.0000 Pd
0.0000 0.0000 0.0000 C
0.1721 0.8279 0.5000 I
0.8279 0.1721 0.5000 I
0.5000 0.5000 0.5000 I

---

LaPmCI | Alexandria via LeMat-Bulk | PBE | optimized geometry; formation energy from raw total energies = -274.6 kJ/mol of formula units; symmetry = R3m, No. 160; calculated volume = 25.91 Å³ per atom; final energy = -5.825 eV/atom
1.0
-0.4412 3.7116 1.0773
0.2185 -2.7955 2.7004
8.0695 -0.6866 -1.3641
La Pm C I
1 1 1 1
direct
0.5211 0.1583 0.6946 La
0.0865 0.9413 0.0431 Pm
0.3084 0.5522 0.8758 C
0.9619 0.3791 0.3561 I

---

LaPrCI | Alexandria via LeMat-Bulk | PBE | optimized geometry; formation energy from raw total energies = -267.0 kJ/mol of formula units; symmetry = R3m, No. 160; calculated volume = 26.56 Å³ per atom; final energy = -5.812 eV/atom
1.0
3.9170 0.0000 -0.0008
-1.9576 3.3967 0.0004
-1.9598 -1.1316 7.9853
La Pr C I
1 1 1 1
direct
0.5211 0.1583 0.6946 La
0.0872 0.9416 0.0442 Pr
0.3042 0.5500 0.8695 C
0.9655 0.3809 0.3614 I

---

La4PtCI2 | Alexandria via LeMat-Bulk | PBE | optimized geometry; formation energy from raw total energies = -693.3 kJ/mol of formula units; symmetry = P2/m, No. 10; calculated volume = 30.35 Å³ per atom; final energy = -5.658 eV/atom
1.0
4.0864 0.0000 0.0000
0.0000 7.4324 0.1627
0.0000 -2.5947 7.9387
La Pt C I
4 1 1 2
direct
0.5000 0.2473 0.1833 La
0.5000 0.7527 0.8167 La
0.0000 0.3032 0.8204 La
0.0000 0.6968 0.1796 La
0.0000 0.0000 0.0000 Pt
0.5000 0.5000 0.0000 C
0.5000 0.0000 0.5000 I
0.0000 0.5000 0.5000 I

---

Q: The highest final energy belongs to which entry?
A: La6Pd2CI3

---

Q: Among the records above, which one has the highest formation energy from raw total energies?
A: LaPrCI